A relaxed La7SbC2 crystal. Source: Alexandria via LeMat-Bulk, functional GGA-PBE.

ΔE_f (raw) ... -0.0364 eV per atom
Calculated total energy ... -57.43 eV/f.u.

abc: 4.842 8.137 8.137
angles: 105.89 90.00 90.00
Last column: magnetic moment on the atom in μB.
Atoms (fractional coordinates):
La (0.000, 0.307, 0.693)  0.03
C (0.500, 0.268, 0.732)  -0.02
C (0.500, 0.732, 0.268)  -0.02
La (0.500, 0.950, 0.687)  0.12
La (0.500, 0.500, 0.500)  0.34
La (0.500, 0.687, 0.950)  0.12
La (0.500, 0.313, 0.050)  0.12
La (0.500, 0.050, 0.313)  0.12
La (0.000, 0.693, 0.307)  0.03
Sb (0.000, 0.000, 0.000)  0.00

A relaxed La6Sb2C crystal. Source: Alexandria via LeMat-Bulk, functional GGA-PBE.

ΔE_f (raw) ... -0.3919 eV per atom
Calculated total energy ... -50.56 eV/f.u.
Polymorph energy (0 for the lowest one) ... 0.180 eV/atom

abc: 7.148 7.148 12.944
angles: 90.00 90.00 90.00
Atoms (fractional coordinates):
C (0.500, 0.500, 0.500)
La (0.311, 0.311, 0.359)
La (0.261, 0.261, 0.000)
La (0.189, 0.811, 0.859)
La (0.689, 0.689, 0.359)
Sb (0.000, 0.000, 0.335)
La (0.761, 0.239, 0.500)
Sb (0.000, 0.000, 0.665)
La (0.239, 0.761, 0.500)
La (0.689, 0.689, 0.641)
La (0.739, 0.739, 0.000)
La (0.311, 0.311, 0.641)
Sb (0.500, 0.500, 0.165)
C (0.000, 0.000, 0.000)
La (0.811, 0.189, 0.859)
La (0.189, 0.811, 0.141)
La (0.811, 0.189, 0.141)
Sb (0.500, 0.500, 0.835)

A relaxed La5Sb2C crystal. Source: Alexandria via LeMat-Bulk, functional GGA-PBE.

ΔE_f (raw) ... -0.4953 eV per atom
Calculated total energy ... -46.07 eV/f.u.

abc: 5.829 6.071 15.934
angles: 90.00 90.00 118.69
Atoms (fractional coordinates):
Sb (0.749, 0.499, 0.057)
Sb (0.251, 0.501, 0.943)
La (0.403, 0.805, 0.371)
La (0.597, 0.195, 0.629)
La (0.403, 0.805, 0.129)
La (0.097, 0.194, 0.129)
La (0.597, 0.195, 0.871)
C (0.250, 0.499, 0.250)
La (0.903, 0.806, 0.871)
La (0.903, 0.806, 0.629)
La (0.750, 0.499, 0.250)
Sb (0.251, 0.501, 0.557)
La (0.097, 0.194, 0.371)
Sb (0.749, 0.499, 0.443)
C (0.750, 0.501, 0.750)
La (0.250, 0.501, 0.750)

A relaxed LaSbC2 crystal. Source: Alexandria via LeMat-Bulk, functional GGA-PBE.

ΔE_f (raw) ... 0.5732 eV per atom
Calculated total energy ... -25.20 eV/f.u.

abc: 6.164 6.164 5.758
angles: 57.64 57.64 90.00
Atoms (fractional coordinates):
C (0.182, 0.625, 0.250)
C (0.375, 0.432, 0.750)
C (0.568, 0.125, 0.250)
Sb (0.500, 0.500, 0.000)
La (0.000, 0.000, 0.000)
C (0.875, 0.818, 0.750)
La (0.750, 0.250, 0.500)
Sb (0.250, 0.750, 0.500)

A relaxed LaSb2C crystal. Source: Alexandria via LeMat-Bulk, functional GGA-PBE.

ΔE_f (raw) ... 0.2823 eV per atom
Calculated total energy ... -21.27 eV/f.u.

abc: 7.257 7.257 6.376
angles: 55.31 55.31 90.00
Atoms (fractional coordinates):
Sb (0.233, 0.625, 0.250)
Sb (0.875, 0.767, 0.750)
C (0.500, 0.500, 0.000)
La (0.750, 0.250, 0.500)
C (0.250, 0.750, 0.500)
Sb (0.375, 0.483, 0.750)
La (0.000, 0.000, 0.000)
Sb (0.517, 0.125, 0.250)

A relaxed La3SbC crystal. Source: Alexandria via LeMat-Bulk, functional GGA-PBE.

ΔE_f (raw) ... -0.5731 eV per atom
Calculated total energy ... -30.99 eV/f.u.

abc: 5.182 5.182 5.182
angles: 90.00 90.00 90.00
Atoms (fractional coordinates):
Sb (0.500, 0.500, 0.500)
La (0.000, 0.500, 0.000)
La (0.500, 0.000, 0.000)
C (0.000, 0.000, 0.000)
La (0.000, 0.000, 0.500)

A relaxed La3SbC crystal. Source: Alexandria via LeMat-Bulk, functional GGA-PBE.

ΔE_f (raw) ... -0.6184 eV per atom
Calculated total energy ... -31.22 eV/f.u.

abc: 6.243 7.110 7.110
angles: 120.00 90.06 90.00
Last column: magnetic moment on the atom in μB.
Atoms (fractional coordinates):
Sb (0.250, 0.333, 0.667)  -0.01
C (0.000, 0.000, 0.000)  -0.01
C (0.500, 0.000, 0.000)  -0.01
La (0.249, 0.836, 0.672)  0.08
La (0.750, 0.672, 0.836)  0.08
La (0.250, 0.328, 0.164)  0.08
La (0.250, 0.836, 0.164)  0.08
Sb (0.750, 0.667, 0.333)  -0.01
La (0.750, 0.164, 0.836)  0.08
La (0.751, 0.164, 0.328)  0.08

A relaxed La2SbC crystal. Source: Alexandria via LeMat-Bulk, functional GGA-PBE.

ΔE_f (raw) ... -0.3754 eV per atom
Calculated total energy ... -24.70 eV/f.u.

abc: 7.567 7.567 6.614
angles: 55.11 55.11 90.00
Atoms (fractional coordinates):
La (0.545, 0.125, 0.250)
La (0.205, 0.625, 0.250)
Sb (0.000, 0.000, 0.000)
C (0.250, 0.750, 0.500)
Sb (0.750, 0.250, 0.500)
La (0.375, 0.455, 0.750)
C (0.500, 0.500, 0.000)
La (0.875, 0.795, 0.750)